No. 1
# SiMoH, relaxed, DFT PBE-GGA
# Total energy in eV/atom: -6.728
# V in A^3/atom: 10.80
data_SiMoH
_cell_length_a 3.3353
_cell_length_b 3.3353
_cell_length_c 3.3637
_cell_angle_alpha 90.00
_cell_angle_beta 90.00
_cell_angle_gamma 120.00
_symmetry_space_group_name_H-M 'P 3 m 1'
_symmetry_Int_Tables_number 156
loop_
_symmetry_equiv_pos_as_xyz
'x,y,z'
'-y,x-y,z'
'-x+y,-x,z'
'-y,-x,z'
'-x+y,y,z'
'x,x-y,z'
loop_
_atom_site_label
_atom_site_fract_x
_atom_site_fract_y
_atom_site_fract_z
Si1 0.0000 0.0000 0.0000
Mo1 0.3333 0.6667 0.5000
H1 0.6667 0.3333 0.4982



No. 2
# Si2MoH, relaxed, DFT PBE-GGA
# Total energy in eV/atom: -6.103
# V in A^3/atom: 11.56
data_Si2MoH
_cell_length_a 5.7069
_cell_length_b 5.7069
_cell_length_c 5.6780
_cell_angle_alpha 90.00
_cell_angle_beta 90.00
_cell_angle_gamma 90.00
_symmetry_space_group_name_H-M 'I -4 2 d'
_symmetry_Int_Tables_number 122
_symmetry_space_group_name_Hall 'I -4 2bw'
loop_
_atom_site_label
_atom_site_fract_x
_atom_site_fract_y
_atom_site_fract_z
Si1 0.1512 0.7500 0.1250
Mo1 0.0000 0.0000 0.5000
H1 0.0000 0.0000 0.0000



No. 3
# Si3MoH, relaxed, DFT PBE-GGA
# Total energy in eV/atom: -5.583
# V in A^3/atom: 11.78
data_Si3MoH
_cell_length_a 3.8905
_cell_length_b 3.8905
_cell_length_c 3.8905
_cell_angle_alpha 90.00
_cell_angle_beta 90.00
_cell_angle_gamma 90.00
_symmetry_space_group_name_H-M 'P m -3 m'
_symmetry_Int_Tables_number 221
_symmetry_space_group_name_Hall '-P 4 2 3'
loop_
_atom_site_label
_atom_site_fract_x
_atom_site_fract_y
_atom_site_fract_z
Si1 0.0000 0.0000 0.5000
Mo1 0.5000 0.5000 0.5000
H1 0.0000 0.0000 0.0000



No. 4
# Ti2SiMoH, relaxed, DFT PBE-GGA
# Total energy in eV/atom: -7.488
# V in A^3/atom: 12.56
data_Ti2SiMoH
_cell_length_a 4.0898
_cell_length_b 4.0898
_cell_length_c 3.7556
_cell_angle_alpha 90.00
_cell_angle_beta 90.00
_cell_angle_gamma 90.00
_symmetry_space_group_name_H-M 'P 4/m m m'
_symmetry_Int_Tables_number 123
_symmetry_space_group_name_Hall '-P 4 2'
loop_
_atom_site_label
_atom_site_fract_x
_atom_site_fract_y
_atom_site_fract_z
Ti1 0.0000 0.5000 0.0000
Si1 0.0000 0.0000 0.5000
Mo1 0.5000 0.5000 0.5000
H1 0.5000 0.5000 0.0000